(1)
Material: LiMn2Ni
Method: DFT, GGA-PBE
State: optimized geometry

Calculated values
SG	No. 123
energy relative to the elements	0.686	eV per formula unit
N(E_F)	2.74	states/eV per cell

abc: 2.8805 4.1886 4.1886
angles: 90.00 90.00 90.00
Closest atoms and distances in Å follow each position.
Sites, in units of the cell vectors:
Ni 0.5000 0.5000 0.0000  8 Mn 2.54
Mn 0.0000 0.0000 0.0000  4 Li 2.54, 4 Ni 2.54
Li 0.5000 0.0000 0.5000  8 Mn 2.54
Mn 0.0000 0.5000 0.5000  4 Li 2.54, 4 Ni 2.54

---

(2)
Material: YSi3Rh3
Method: DFT, GGA-PBE
State: optimized geometry

Calculated values
energy above the lowest structure with this stoichiometry	0.000	eV per atom
SG	No. 176
N(E_F)	4.43	states/eV per cell

abc: 4.0926 8.4183 8.4190
angles: 120.00 90.00 90.00
Closest atoms and distances in Å follow each position.
Sites, in units of the cell vectors:
Si 0.2500 0.0551 0.6249  4 Rh 2.33-2.41
Si 0.7500 0.9449 0.3751  4 Rh 2.33-2.41
Si 0.2500 0.3750 0.4301  4 Rh 2.33-2.41
Rh 0.2500 0.6558 0.7218  4 Si 2.33-2.41
Y 0.2500 0.6666 0.3333  9 Si 2.95-3.00, 6 Rh 3.24
Rh 0.7500 0.9340 0.6558  4 Si 2.33-2.41
Rh 0.2500 0.0660 0.3442  4 Si 2.33-2.41
Si 0.7500 0.4301 0.0551  4 Rh 2.33-2.41
Rh 0.7500 0.3442 0.2782  4 Si 2.33-2.41
Rh 0.7500 0.7218 0.0661  4 Si 2.33-2.41
Rh 0.2500 0.2782 0.9339  4 Si 2.33-2.41
Si 0.7500 0.6250 0.5699  4 Rh 2.33-2.41
Si 0.2500 0.5699 0.9449  4 Rh 2.33-2.41
Y 0.7500 0.3334 0.6667  9 Si 2.95-3.00, 6 Rh 3.24

---

(3)
Material: BaZr2Cu
Method: DFT, GGA-PBE
State: optimized geometry

Calculated values
energy above the lowest structure with this stoichiometry	0.558	eV per atom
SG	No. 225
energy relative to the elements	2.808	eV per formula unit
N(E_F)	4.08	states/eV per cell

abc: 5.0248 5.0248 5.0248
angles: 60.00 60.00 60.00
Closest atoms and distances in Å follow each position.
Sites, in units of the cell vectors:
Ba 0.5000 0.5000 0.5000  8 Zr 3.08
Zr 0.7500 0.7500 0.7500  4 Ba 3.08, 4 Cu 3.08
Zr 0.2500 0.2500 0.2500  4 Ba 3.08, 4 Cu 3.08
Cu 0.0000 0.0000 0.0000  8 Zr 3.08

---

(4)
Material: HoMgNiRu
Method: DFT, GGA-PBE
State: optimized geometry

Calculated values
SG	No. 216
energy relative to the elements	-0.826	eV per formula unit
N(E_F)	2.75	states/eV per cell

abc: 4.5803 4.5803 4.5803
angles: 60.00 60.00 60.00
Closest atoms and distances in Å follow each position.
Sites, in units of the cell vectors:
Ni 0.0000 0.0000 0.0000  4 Mg 2.80, 4 Ho 2.80
Mg 0.2500 0.2500 0.2500  4 Ru 2.80, 4 Ni 2.80
Ru 0.5000 0.5000 0.5000  4 Ho 2.80, 4 Mg 2.80
Ho 0.7500 0.7500 0.7500  4 Ru 2.80, 4 Ni 2.80

---

The following spin magnetization values (in μB per cell) correspond, in order, to the records above: 7.6; 0.0; 0.0; 0.0.
The following total energy values (in eV for the cell shown) correspond, in order, to the records above: -25.35; -100.03; -20.31; -22.06.